# 1
The following is a GGA-PBE calculation of an optimized crystal structure of AlPb, from the Alexandria database.

crystal system = hexagonal
E_tot = -7.00 eV/f.u.
space-group type = P6_3/mmc (194)
theoretical density = 7.3 Mg/m³

Cell lengths 4.660, 4.660, 5.628 Å; angles 90.00, 90.00, 120.00 degrees
Fractional positions:
Al: 0.000 0.000 0.000
Al: 0.000 0.000 0.500
Pb: 0.333 0.667 0.250
Pb: 0.667 0.333 0.750



# 2
The following is a GGA-PBE calculation of an optimized crystal structure of Al2Pb, from the Alexandria database.

crystal system = orthorhombic
E_tot = -10.51 eV/f.u.
space-group type = Pnma (62)
theoretical density = 6.2 Mg/m³

Cell lengths 5.589, 4.378, 11.424 Å; angles 90.00, 90.00, 90.00 degrees
Fractional positions:
Al: 0.105 0.250 0.186
Al: 0.122 0.750 0.031
Al: 0.378 0.250 0.531
Al: 0.395 0.750 0.686
Al: 0.605 0.250 0.314
Al: 0.622 0.750 0.469
Al: 0.878 0.250 0.969
Al: 0.895 0.750 0.814
Pb: 0.099 0.750 0.367
Pb: 0.401 0.250 0.867
Pb: 0.599 0.750 0.133
Pb: 0.901 0.250 0.633



# 3
The following is a GGA-PBE calculation of an optimized crystal structure of AlPb2, from the Alexandria database.

crystal system = monoclinic
E_tot = -10.62 eV/f.u.
space-group type = C2/m (12)
theoretical density = 8.9 Mg/m³

Cell lengths 3.546, 3.546, 6.961 Å; angles 103.33, 103.33, 92.46 degrees
Fractional positions:
Al: 0.000 0.000 0.000
Pb: 0.363 0.363 0.716
Pb: 0.637 0.637 0.284



# 4
The following is a GGA-PBE calculation of an optimized crystal structure of AlPb, from the Alexandria database.

crystal system = tetragonal
E_tot = -6.88 eV/f.u.
space-group type = I4_1/amd (141)
theoretical density = 7.7 Mg/m³

Cell lengths 5.802, 5.802, 5.802 Å; angles 133.40, 133.40, 68.03 degrees
Fractional positions:
Al: 0.375 0.625 0.750
Al: 0.625 0.375 0.250
Pb: 0.125 0.875 0.250
Pb: 0.875 0.125 0.750